(1)
Material: TaRu4
Method: DFT, SCAN
State: PBEsol geometry

Calculated values
magnetization: 0.00 Bohr magnetons per cell
energy of formation from the pure elements: -0.1072 eV/atom

extended XYZ file:
```
5
Lattice="-3.0516 3.0516 1.9046 3.0516 -3.0516 1.9046 3.0516 3.0516 -1.9046" Properties=species:S:1:pos:R:3 pbc="T T T"
Ta 0.0000 0.0000 0.0000
Ru 2.4669 1.1587 0.0000
Ru 1.8928 -0.5847 1.9046
Ru 1.1587 3.6362 0.0000
Ru 0.5847 1.8928 1.9046
```

(2)
Material: CrBr2Cl
Method: DFT, SCAN
State: PBEsol geometry

Calculated values
magnetization: 4.14 Bohr magnetons per cell

extended XYZ file:
```
4
Lattice="3.2208 0.0000 0.0000 0.0000 3.2208 0.0000 0.0000 0.0000 8.2818" Properties=species:S:1:pos:R:3 pbc="T T T"
Cr 0.0000 0.0000 0.0000
Br 1.6104 1.6104 1.5675
Br 1.6104 1.6104 6.7143
Cl 0.0000 0.0000 4.1409
```

(3)
Material: NdMgNi4
Method: DFT, SCAN
State: PBEsol geometry

Calculated values
magnetization: 0.00 Bohr magnetons per cell
energy of formation from the pure elements: -0.3044 eV/atom

extended XYZ file:
```
6
Lattice="0.0000 3.4821 3.4821 3.4821 0.0000 3.4821 3.4821 3.4821 0.0000" Properties=species:S:1:pos:R:3 pbc="T T T"
Nd 0.0000 0.0000 0.0000
Mg 1.7410 1.7410 1.7410
Ni 4.3429 2.6213 2.6213
Ni 2.6213 4.3429 2.6213
Ni 2.6213 2.6213 4.3429
Ni 4.3429 4.3429 4.3429
```

| no. | E (eV per atom) |
| --- | --- |
| 1 | -41.2849 |
| 2 | -16.4861 |
| 3 | -19.1792 |